1.
! ZnCuTc2 (PBE, relaxed); values from VASP
&SYSTEM
  ibrav = 0, nat = 4, ntyp = 3
/
ATOMIC_SPECIES
Zn 65.41 Zn.upf
Cu 63.55 Cu.upf
Tc 98.00 Tc.upf
CELL_PARAMETERS angstrom
1.370 0.791 8.689
-1.370 0.791 8.689
0.000 -1.582 8.689
ATOMIC_POSITIONS angstrom
Zn 0.000 0.000 0.000
Cu 0.000 0.000 19.454
Tc 0.000 0.000 6.383
Tc 0.000 0.000 13.009
! ΔE_f: 0.0028 eV per atom
! Density of states at the Fermi level: 0.53 states/eV per cell
! Symmetry: R3m (160)
! Total magnetization: 0.0 μB per formula unit


2.
! ZnCu4Tc (PBE, relaxed); values from VASP
&SYSTEM
  ibrav = 0, nat = 6, ntyp = 3
/
ATOMIC_SPECIES
Zn 65.41 Zn.upf
Cu 63.55 Cu.upf
Tc 98.00 Tc.upf
CELL_PARAMETERS angstrom
0.000 3.398 3.398
3.398 0.000 3.398
3.398 3.398 0.000
ATOMIC_POSITIONS angstrom
Zn 0.000 0.000 0.000
Cu 2.549 2.549 2.549
Cu 4.247 4.247 2.549
Cu 4.247 2.549 4.247
Cu 2.549 4.247 4.247
Tc 5.097 5.097 5.097
! ΔE_f: 0.2632 eV per atom
! Density of states at the Fermi level: 4.01 states/eV per cell
! Symmetry: F-43m (216)
! Total magnetization: 1.9 μB per formula unit


3.
! ZnCuTc2 (PBE, relaxed); values from VASP
&SYSTEM
  ibrav = 0, nat = 4, ntyp = 3
/
ATOMIC_SPECIES
Zn 65.41 Zn.upf
Cu 63.55 Cu.upf
Tc 98.00 Tc.upf
CELL_PARAMETERS angstrom
4.590 0.000 0.000
0.000 4.590 0.000
0.000 0.000 2.621
ATOMIC_POSITIONS angstrom
Zn 0.000 0.000 0.000
Cu 2.295 2.295 0.000
Tc 0.000 2.295 1.311
Tc 2.295 0.000 1.311
! ΔE_f: 0.3316 eV per atom
! Density of states at the Fermi level: 3.02 states/eV per cell
! Symmetry: P4/mmm (123)
! Total magnetization: 0.0 μB per formula unit


4.
! ZnCuTc2 (PBE, relaxed); values from VASP
&SYSTEM
  ibrav = 0, nat = 4, ntyp = 3
/
ATOMIC_SPECIES
Zn 65.41 Zn.upf
Cu 63.55 Cu.upf
Tc 98.00 Tc.upf
CELL_PARAMETERS angstrom
2.742 0.000 0.000
0.000 3.796 0.000
0.000 0.000 5.398
ATOMIC_POSITIONS angstrom
Zn 0.000 0.000 0.000
Cu 1.371 1.898 1.174
Tc 0.000 0.000 2.699
Tc 1.371 1.898 3.848
! ΔE_f: 0.1103 eV per atom
! Density of states at the Fermi level: 2.99 states/eV per cell
! Symmetry: Pmm2 (25)
! Total magnetization: 0.0 μB per formula unit


5.
! ZnCuTc2 (PBE, relaxed); values from VASP
&SYSTEM
  ibrav = 0, nat = 4, ntyp = 3
/
ATOMIC_SPECIES
Zn 65.41 Zn.upf
Cu 63.55 Cu.upf
Tc 98.00 Tc.upf
CELL_PARAMETERS angstrom
1.609 -2.014 0.000
1.609 2.014 0.000
0.000 0.000 8.618
ATOMIC_POSITIONS angstrom
Zn 0.000 0.000 0.000
Cu 0.000 0.000 4.309
Tc 1.609 0.000 2.189
Tc 1.609 0.000 6.429
! ΔE_f: 0.2311 eV per atom
! Density of states at the Fermi level: 3.28 states/eV per cell
! Symmetry: Cmmm (65)
! Total magnetization: 0.0 μB per formula unit


6.
! ZnCuTc2 (PBE, relaxed); values from VASP
&SYSTEM
  ibrav = 0, nat = 4, ntyp = 3
/
ATOMIC_SPECIES
Zn 65.41 Zn.upf
Cu 63.55 Cu.upf
Tc 98.00 Tc.upf
CELL_PARAMETERS angstrom
-1.922 1.922 3.716
1.922 -1.922 3.716
1.922 1.922 -3.716
ATOMIC_POSITIONS angstrom
Zn 0.000 0.000 0.000
Cu 1.922 0.000 1.858
Tc 0.000 0.000 3.716
Tc 0.000 1.922 1.858
! ΔE_f: 0.1162 eV per atom
! Density of states at the Fermi level: 2.67 states/eV per cell
! Symmetry: I-4m2 (119)
! Total magnetization: 0.0 μB per formula unit


7.
! ZnCuTc2 (PBE, relaxed); values from VASP
&SYSTEM
  ibrav = 0, nat = 4, ntyp = 3
/
ATOMIC_SPECIES
Zn 65.41 Zn.upf
Cu 63.55 Cu.upf
Tc 98.00 Tc.upf
CELL_PARAMETERS angstrom
2.620 0.000 0.000
0.000 4.345 0.000
-0.440 0.000 4.905
ATOMIC_POSITIONS angstrom
Zn 0.000 0.000 0.000
Cu 2.474 2.172 1.194
Tc 0.791 2.172 3.640
Tc 1.235 0.000 2.424
! ΔE_f: 0.1323 eV per atom
! Density of states at the Fermi level: 2.27 states/eV per cell
! Symmetry: Pm (6)
! Total magnetization: 0.0 μB per formula unit


8.
! ZnCuTc2 (PBE, relaxed); values from VASP
&SYSTEM
  ibrav = 0, nat = 4, ntyp = 3
/
ATOMIC_SPECIES
Zn 65.41 Zn.upf
Cu 63.55 Cu.upf
Tc 98.00 Tc.upf
CELL_PARAMETERS angstrom
3.226 0.000 0.000
0.000 4.005 0.000
0.000 0.000 4.324
ATOMIC_POSITIONS angstrom
Zn 0.000 0.000 0.000
Cu 1.613 2.002 0.000
Tc 0.000 2.002 2.162
Tc 1.613 0.000 2.162
! ΔE_f: 0.2006 eV per atom
! Density of states at the Fermi level: 2.79 states/eV per cell
! Symmetry: Pmmm (47)
! Total magnetization: 0.0 μB per formula unit


The highest total magnetization belongs to which entry?
ZnCu4Tc


Which value of total magnetization does entry 3 give?
0.0 μB per formula unit


The lowest ΔE_f belongs to which entry?
number 1